Record 1
# BaScTl2

An optimized crystal structure of BaScTl2 (PBE, Alexandria).

POSCAR file:
```
BaScTl2
1.0
5.928 -1.852 0.000
5.928 1.852 0.000
-1.568 0.000 5.885
Ba Sc Tl
1 1 2
direct
0.000 0.000 0.000
0.784 0.784 0.384
0.242 0.242 0.781
0.522 0.522 0.484
```



Record 2
# Mn2Co

An optimized crystal structure of Mn2Co (PBE, Alexandria).

POSCAR file:
```
Mn2Co
1.0
6.742 0.000 0.000
-3.371 5.839 0.000
0.000 0.000 2.423
Mn Co
6 3
direct
0.000 0.304 0.000
0.000 0.638 0.500
0.304 0.000 0.000
0.362 0.362 0.500
0.638 0.000 0.500
0.696 0.696 0.000
0.000 0.000 0.500
0.333 0.667 0.000
0.667 0.333 0.000
```



Record 3
# CaPmCuBi

An optimized crystal structure of CaPmCuBi (PBE, Alexandria).

POSCAR file:
```
CaPmCuBi
1.0
0.000 3.778 3.778
3.778 0.000 3.778
3.778 3.778 0.000
Ca Pm Cu Bi
1 1 1 1
direct
0.000 0.000 0.000
0.500 0.500 0.500
0.750 0.750 0.750
0.250 0.250 0.250
```



How do the records compare in ΔH_f (0 K)? In the order shown, they have -0.046, 0.091, -0.373 eV per atom.